[1]
Density functional theory data (PBE) for BRu after structural relaxation.

Summary:
The energy comes out at -64.10 eV for the cell shown. The calculation puts the density of states at the Fermi level at 8.63 states/eV/cell. The calculation puts the formation energy at -36 meV/atom.

abc: 5.428 3.071 5.285
angles: 90.00 109.22 90.00
Element x y z (fractional)
B1 0.004 0.000 0.168
Ru1 0.272 0.000 0.591
Ru2 0.728 0.500 0.909
B2 0.996 0.000 0.832
Ru3 0.272 0.500 0.091
B3 0.996 0.500 0.332
Ru4 0.728 0.000 0.409
B4 0.004 0.500 0.668

=====

[2]
Density functional theory data (PBE) for BaCl2F after structural relaxation.

Summary:
The energy comes out at -14.94 eV for the cell shown. The calculation puts the density of states at the Fermi level at 6.56 states/eV/cell.

abc: 5.293 5.293 5.293
angles: 57.93 57.93 57.93
Element x y z (fractional)
Cl1 0.243 0.243 0.243
Ba1 0.000 0.000 0.000
Cl2 0.757 0.757 0.757
F1 0.500 0.500 0.500

=====

[3]
Density functional theory data (PBE) for SrCaLa2Os after structural relaxation.

Summary:
The energy comes out at -24.93 eV for the cell shown. The calculation puts the density of states at the Fermi level at 4.47 states/eV/cell. The calculation puts the formation energy at -32 meV/atom.

abc: 5.640 5.640 5.934
angles: 90.00 90.00 90.00
Element x y z (fractional)
La1 0.000 0.500 0.000
Sr1 0.500 0.500 0.500
Os1 0.000 0.000 0.000
Ca1 0.000 0.000 0.500
La2 0.500 0.000 0.000